Entry 1:
Compound: DyY2ScTl2
Source: Alexandria via LeMat-Bulk
Functional: GGA-PBE
Structure: relaxed

```
data_DyY2ScTl2
_symmetry_space_group_name_H-M 'P m c 21'
_symmetry_Int_Tables_number 26
_cell_length_a 4.9401
_cell_length_b 9.7646
_cell_length_c 6.9226
_cell_angle_alpha 90.00
_cell_angle_beta 90.00
_cell_angle_gamma 90.00
loop_
_symmetry_equiv_pos_as_xyz
'x,y,z'
'-x,-y,z+1/2'
'-x,y,z'
'x,-y,z+1/2'
loop_
_atom_site_label
_atom_site_type_symbol
_atom_site_fract_x
_atom_site_fract_y
_atom_site_fract_z
Dy1 Dy 0.0000 0.0498 0.0000
Y1 Y 0.0000 0.3083 0.3927
Y2 Y 0.5000 0.4497 0.1026
Sc1 Sc 0.5000 0.1952 0.7109
Tl1 Tl 0.0000 0.3644 0.8409
Tl2 Tl 0.5000 0.1173 0.2734
```

Calculated values
Formation energy from the elements (kJ/mol of formula units): -162
Fermi-level density of states (states/eV per cell): 13.94
Energy (eV per atom): -5.05
Total magnetization (μB per atom): 0.00
Crystal system: orthorhombic

=====

Entry 2:
Compound: YErBeRh
Source: Alexandria via LeMat-Bulk
Functional: GGA-PBE
Structure: relaxed

```
data_YErBeRh
_symmetry_space_group_name_H-M 'F -4 3 m'
_symmetry_Int_Tables_number 216
_symmetry_space_group_name_Hall 'F -4 2 3'
_cell_length_a 6.8322
_cell_length_b 6.8322
_cell_length_c 6.8322
_cell_angle_alpha 90.00
_cell_angle_beta 90.00
_cell_angle_gamma 90.00
loop_
_atom_site_label
_atom_site_type_symbol
_atom_site_fract_x
_atom_site_fract_y
_atom_site_fract_z
Y1 Y 0.0000 0.0000 0.0000
Er1 Er 0.0000 0.0000 0.5000
Be1 Be 0.2500 0.2500 0.2500
Rh1 Rh 0.2500 0.2500 0.7500
```

Calculated values
Formation energy from the elements (kJ/mol of formula units): -151
Fermi-level density of states (states/eV per cell): 6.85
Energy (eV per atom): -5.92
Total magnetization (μB per atom): 0.00
Crystal system: cubic

=====

Entry 3:
Compound: Si2NiIr3
Source: Alexandria via LeMat-Bulk
Functional: GGA-PBE
Structure: relaxed

```
data_Si2NiIr3
_symmetry_space_group_name_H-M 'P m c 21'
_symmetry_Int_Tables_number 26
_cell_length_a 3.9622
_cell_length_b 7.5202
_cell_length_c 5.3527
_cell_angle_alpha 90.00
_cell_angle_beta 90.00
_cell_angle_gamma 90.00
loop_
_symmetry_equiv_pos_as_xyz
'x,y,z'
'-x,-y,z+1/2'
'-x,y,z'
'x,-y,z+1/2'
loop_
_atom_site_label
_atom_site_type_symbol
_atom_site_fract_x
_atom_site_fract_y
_atom_site_fract_z
Si1 Si 0.0000 0.1447 0.0000
Si2 Si 0.5000 0.3474 0.4231
Ni1 Ni 0.5000 0.0449 0.2452
Ir1 Ir 0.0000 0.1685 0.5477
Ir2 Ir 0.0000 0.4465 0.1913
Ir3 Ir 0.5000 0.3141 0.8744
```

Calculated values
Fermi-level density of states (states/eV per cell): 8.61
Energy (eV per atom): -7.69
Total magnetization (μB per atom): 0.00
E_form (uncorrected) (eV per atom): -0.49
Crystal system: orthorhombic

=====

Question: Look up the Fermi-level density of states of the second one.
Answer: 6.85 states/eV per cell